w) DFT (PBE) results for ScTa3 after structural relaxation.

```
ScTa3
1.0
2.9072 -4.7553 0.0000
2.9072 4.7553 0.0000
0.0000 0.0000 2.7834
Sc Ta
1 3
Direct
0.0000 0.0000 0.0000
0.0000 0.5000 0.5000
0.5000 0.0000 0.5000
0.5000 0.5000 0.0000
```

Calculated values
The space-group type is Cmmm, No. 65. As for the density: 12.7 g/cm3.

=====

x) DFT (PBE) results for ScTa3 after structural relaxation.

```
ScTa3
1.0
-1.4021 4.9651 2.7716
1.4021 -4.9651 2.7716
1.4021 4.9651 -2.7716
Sc Ta
1 3
Direct
0.0000 0.0000 0.0000
0.4775 0.7257 0.7518
0.4936 0.9936 0.5000
0.9739 0.7257 0.2482
```

Calculated values
The space-group type is Imm2, No. 44. As for the density: 12.6 g/cm3.

=====

y) DFT (PBE) results for ScTa3 after structural relaxation.

```
ScTa3
1.0
6.0725 0.0000 0.0000
-3.0363 5.2590 0.0000
0.0000 0.0000 4.9515
Sc Ta
2 6
Direct
0.3333 0.6667 0.2500
0.6667 0.3333 0.7500
0.1556 0.3111 0.7500
0.1556 0.8444 0.7500
0.3111 0.1556 0.2500
0.6889 0.8444 0.7500
0.8444 0.1556 0.2500
0.8444 0.6889 0.2500
```

Calculated values
The space-group type is P6_3/mmc, No. 194. As for the density: 12.3 g/cm3.

=====

Relative energies, unit meV per atom: w) 13; x) 0; y) 45

=====

w) DFT (PBE) results for ScTa3 after structural relaxation.

```
ScTa3
1.0
2.8160 0.0000 0.0000
0.0000 4.7085 0.0000
0.0000 0.0000 5.8180
Sc Ta
1 3
Direct
0.0000 0.0000 0.0000
0.0000 0.0000 0.5000
0.5000 0.5000 0.2558
0.5000 0.5000 0.7442
```

Calculated values
The space-group type is Pmmm, No. 47. As for the density: 12.7 g/cm3.

=====

x) DFT (PBE) results for ScTa3 after structural relaxation.

```
ScTa3
1.0
-2.0279 2.0279 9.3693
2.0279 -2.0279 9.3693
2.0279 2.0279 -9.3693
Sc Ta
2 6
Direct
0.1289 0.1289 0.0000
0.8711 0.8711 0.0000
0.0000 0.5000 0.5000
0.2500 0.7500 0.5000
0.3824 0.3824 0.0000
0.5000 0.0000 0.5000
0.6176 0.6176 0.0000
0.7500 0.2500 0.5000
```

Calculated values
The space-group type is I4/mmm, No. 139. As for the density: 12.7 g/cm3.

=====

y) DFT (PBE) results for ScTa3 after structural relaxation.

```
ScTa3
1.0
3.3694 0.0000 0.0000
0.0000 3.3694 0.0000
0.0000 0.0000 6.9143
Sc Ta
1 3
Direct
0.0000 0.0000 0.0000
0.0000 0.0000 0.5000
0.5000 0.5000 0.2833
0.5000 0.5000 0.7167
```

Calculated values
The space-group type is P4/mmm, No. 123. As for the density: 12.4 g/cm3.

=====

Relative energies, unit meV per atom: w) 73; x) 112; y) 0

=====

w) DFT (PBE) results for ScTa3 after structural relaxation.

```
ScTa3
1.0
4.2653 0.0000 0.0000
0.0000 4.2653 0.0000
0.0000 0.0000 4.2653
Sc Ta
1 3
Direct
0.0000 0.0000 0.0000
0.0000 0.5000 0.5000
0.5000 0.0000 0.5000
0.5000 0.5000 0.0000
```

Calculated values
The space-group type is Pm-3m, No. 221. As for the density: 12.6 g/cm3.

=====

x) DFT (PBE) results for ScTa3 after structural relaxation.

```
ScTa3
1.0
1.4863 0.8581 10.1561
-1.4863 0.8581 10.1561
0.0000 -1.7162 10.1561
Sc Ta
1 3
Direct
0.0000 0.0000 0.0000
0.2486 0.2486 0.2486
0.5000 0.5000 0.5000
0.7514 0.7514 0.7514
```

Calculated values
The space-group type is R-3m, No. 166. As for the density: 12.6 g/cm3.

=====

y) DFT (PBE) results for ScTa3 after structural relaxation.

```
ScTa3
1.0
-1.6954 2.4132 4.6876
1.6954 -2.4132 4.6876
1.6954 2.4132 -4.6876
Sc Ta
1 3
Direct
0.0000 0.0000 0.0000
0.2629 0.7629 0.5000
0.5000 0.5000 0.0000
0.7371 0.2371 0.5000
```

Calculated values
The space-group type is Immm, No. 71. As for the density: 12.7 g/cm3.

=====

z) DFT (PBE) results for ScTa3 after structural relaxation.

```
ScTa3
1.0
4.8577 0.0000 0.0000
0.0000 5.8423 0.0000
0.0000 0.0000 5.5811
Sc Ta
2 6
Direct
0.2500 0.2500 0.1208
0.7500 0.7500 0.8792
0.2500 0.0099 0.6393
0.2500 0.4901 0.6393
0.2500 0.7500 0.2008
0.7500 0.2500 0.7992
0.7500 0.5099 0.3607
0.7500 0.9901 0.3607
```

Calculated values
The space-group type is Pmmn, No. 59. As for the density: 12.3 g/cm3.

=====

Relative energies, unit meV per atom: w) 77; x) 68; y) 0; z) 49

=====

w) DFT (PBE) results for ScTa3 after structural relaxation.

```
ScTa3
1.0
4.9268 -1.4081 0.0000
4.9268 1.4081 0.0000
-0.2767 0.0000 5.5665
Sc Ta
1 3
Direct
0.0000 0.0000 0.0000
0.2476 0.2476 0.7405
0.5000 0.5000 0.5000
0.7524 0.7524 0.2595
```

Calculated values
The space-group type is C2/m, No. 12. As for the density: 12.6 g/cm3.

=====

x) DFT (PBE) results for ScTa3 after structural relaxation.

```
ScTa3
1.0
2.9614 0.0000 0.0000
-1.4807 2.5647 0.0000
0.0000 0.0000 10.2199
Sc Ta
1 3
Direct
0.0000 0.0000 0.0000
0.0000 0.0000 0.5000
0.3333 0.6667 0.2516
0.3333 0.6667 0.7484
```

Calculated values
The space-group type is P-6m2, No. 187. As for the density: 12.6 g/cm3.

=====

y) DFT (PBE) results for ScTa3 after structural relaxation.

```
ScTa3
1.0
4.8214 0.0000 0.0000
0.0000 4.8214 0.0000
0.0000 0.0000 4.8214
Sc Ta
1 3
Direct
0.0000 0.0000 0.0000
0.0000 0.0000 0.5000
0.0000 0.5000 0.0000
0.5000 0.0000 0.0000
```

Calculated values
The space-group type is Pm-3m, No. 221. As for the density: 8.7 g/cm3.

=====

z) DFT (PBE) results for ScTa3 after structural relaxation.

```
ScTa3
1.0
3.4765 -4.7307 0.0000
3.4765 4.7307 0.0000
0.0000 0.0000 4.7227
Sc Ta
2 6
Direct
0.1138 0.8862 0.7500
0.8862 0.1138 0.2500
0.1581 0.4108 0.7500
0.3666 0.6334 0.2500
0.4108 0.1581 0.2500
0.5892 0.8419 0.7500
0.6334 0.3666 0.7500
0.8419 0.5892 0.2500
```

Calculated values
The space-group type is Cmcm, No. 63. As for the density: 12.6 g/cm3.

=====

Relative energies, unit meV per atom: w) 61; x) 106; y) 2826; z) 0

=====

w) DFT (PBE) results for ScTa3 after structural relaxation.

```
ScTa3
1.0
5.3508 0.0000 0.0000
0.0000 5.3508 0.0000
0.0000 0.0000 5.3508
Sc Ta
2 6
Direct
0.0000 0.0000 0.0000
0.5000 0.5000 0.5000
0.0000 0.2500 0.5000
0.0000 0.7500 0.5000
0.2500 0.5000 0.0000
0.5000 0.0000 0.2500
0.5000 0.0000 0.7500
0.7500 0.5000 0.0000
```

Calculated values
The space-group type is Pm-3n, No. 223. As for the density: 12.7 g/cm3.

=====

x) DFT (PBE) results for ScTa3 after structural relaxation.

```
ScTa3
1.0
2.8758 0.0000 0.0000
0.0000 4.7870 0.0000
-0.9422 0.0000 5.5652
Sc Ta
1 3
Direct
0.0000 0.0000 0.0000
0.2783 0.5000 0.7338
0.5000 0.0000 0.5000
0.7217 0.5000 0.2662
```

Calculated values
The space-group type is P2/m, No. 10. As for the density: 12.7 g/cm3.

=====

Relative energies, unit meV per atom: w) 92; x) 0

=====

w) DFT (PBE) results for Sc3Ta4 after structural relaxation.

```
Sc3Ta4
1.0
5.5056 0.0000 0.0000
-2.7528 4.7680 0.0000
0.0000 0.0000 5.2894
Sc Ta
3 4
Direct
0.0000 0.5000 0.0000
0.5000 0.0000 0.0000
0.5000 0.5000 0.0000
0.0000 0.0000 0.2573
0.0000 0.0000 0.7427
0.3333 0.6667 0.5000
0.6667 0.3333 0.5000
```

Calculated values
The space-group type is P6/mmm, No. 191. As for the density: 10.3 g/cm3.

=====

x) DFT (PBE) results for Sc3Ta4 after structural relaxation.

```
Sc3Ta4
1.0
-1.7396 1.7396 12.1475
1.7396 -1.7396 12.1475
1.7396 1.7396 -12.1475
Sc Ta
3 4
Direct
0.0000 0.0000 0.0000
0.2973 0.2973 0.0000
0.7027 0.7027 0.0000
0.1291 0.1291 0.0000
0.4224 0.4224 0.0000
0.5776 0.5776 0.0000
0.8709 0.8709 0.0000
```

Calculated values
The space-group type is I4/mmm, No. 139. As for the density: 9.7 g/cm3.

=====

Relative energies, unit meV per atom: w) 414; x) 0